(1)
VASP calculation (PBEsol) on a geometry-optimized AlZnRh structure.

Calculated values
- ΔH_f (0 K): -0.36 eV per atom
- Energy above the most stable polymorph in this dataset: 215.6 meV/atom

Cell lengths 5.7865, 5.7865, 5.7865 Å; angles 90.00, 90.00, 90.00 degrees
Last column: nearest neighbours and their distance in Å.
Space group F-43m (No. 216)
Unique sites:
Al 0.0000 0.0000 0.0000 [4 per cell]  4 Rh 2.51
Zn 0.0000 0.0000 0.5000 [4 per cell]  4 Rh 2.51
Rh 0.2500 0.2500 0.7500 [4 per cell]  4 Al 2.51, 4 Zn 2.51

---

(2)
VASP calculation (PBEsol) on a geometry-optimized In2Ir2Pb structure.

Calculated values
- ΔH_f (0 K): 0.36 eV per atom

Cell lengths 4.2039, 4.2039, 11.9728 Å; angles 90.00, 90.00, 90.00 degrees
Last column: nearest neighbours and their distance in Å.
Space group I4/mmm (No. 139)
Unique sites:
In 0.0000 0.0000 0.1175 [4 per cell]  4 Ir 2.63, 1 In 2.81
Ir 0.0000 0.5000 0.2500 [4 per cell]  4 In 2.63
Pb 0.0000 0.0000 0.5000 [2 per cell]  8 In 3.29, 8 Ir 3.66

---

(3)
VASP calculation (PBEsol) on a geometry-optimized Sr3RuPb structure.

Calculated values
- ΔH_f (0 K): 0.22 eV per atom

Cell lengths 5.5041, 5.5041, 5.5041 Å; angles 90.00, 90.00, 90.00 degrees
Last column: nearest neighbours and their distance in Å.
Space group Pm-3m (No. 221)
Unique sites:
Sr 0.0000 0.0000 0.5000 [3 per cell]  2 Ru 2.75
Ru 0.0000 0.0000 0.0000 [1 per cell]  6 Sr 2.75
Pb 0.5000 0.5000 0.5000 [1 per cell]  12 Sr 3.89

---

(4)
VASP calculation (PBEsol) on a geometry-optimized CaNb2GeO structure.

Calculated values
- Formation energy without anion corrections: -495 meV per atom

Cell lengths 4.1479, 4.1479, 5.1486 Å; angles 90.00, 90.00, 90.00 degrees
Last column: nearest neighbours and their distance in Å.
Space group P4/mmm (No. 123)
Unique sites:
Ca 0.0000 0.0000 0.0000 [1 per cell]  4 Ge 2.93
Nb 0.0000 0.5000 0.5000 [2 per cell]  2 O 2.07
Ge 0.5000 0.5000 0.0000 [1 per cell]  2 O 2.57
O 0.5000 0.5000 0.5000 [1 per cell]  4 Nb 2.07

---

(5)
VASP calculation (PBEsol) on a geometry-optimized LiMn7O3F9 structure.

Calculated values
- Formation energy without anion corrections: -1929 meV per atom

Cell lengths 6.2158, 6.2706, 6.3015 Å; angles 90.05, 90.29, 90.21 degrees
Last column: nearest neighbours and their distance in Å.
Space group P1 (No. 1)
Unique sites:
Li 0.0000 0.0000 0.0000 [1 per cell]  6 F 2.00-2.06
Mn 0.0565 0.7266 0.5601 [1 per cell]  1 O 2.06, 5 F 2.10-2.27
Mn 0.2269 0.4571 0.0918 [1 per cell]  2 O 2.07-2.13, 3 F 2.11-2.19
Mn 0.4477 0.0621 0.7597 [1 per cell]  5 F 2.08-2.27, 1 O 2.10
Mn 0.4758 0.4576 0.4763 [1 per cell]  3 O 2.05-2.08, 3 F 2.19-2.25
Mn 0.5504 0.9256 0.2686 [1 per cell]  2 O 2.01, 1 F 2.17
Mn 0.7241 0.5659 0.9631 [1 per cell]  1 O 1.98, 3 F 2.11-2.21
Mn 0.9219 0.2321 0.4512 [1 per cell]  2 O 1.97-2.03, 2 F 2.16-2.20
O 0.1481 0.4500 0.4109 [1 per cell]  4 Mn 1.97-2.08
O 0.5129 0.6159 0.1923 [1 per cell]  4 Mn 1.98-2.13
O 0.6062 0.1571 0.4826 [1 per cell]  4 Mn 2.01-2.10
F 0.0550 0.6875 0.9177 [1 per cell]  1 Li 2.06, 3 Mn 2.11-2.27
F 0.0883 0.0518 0.6923 [1 per cell]  1 Li 2.04, 3 Mn 2.16-2.27
F 0.3074 0.0839 0.0766 [1 per cell]  1 Li 2.04, 2 Mn 2.17-2.19
F 0.3934 0.7819 0.5897 [1 per cell]  3 Mn 2.08-2.22
F 0.4308 0.3958 0.8247 [1 per cell]  4 Mn 2.13-2.28
F 0.6934 0.9247 0.9392 [1 per cell]  1 Li 2.00, 1 Mn 2.09
F 0.7760 0.5556 0.6332 [1 per cell]  3 Mn 2.10-2.19
F 0.9108 0.3026 0.0612 [1 per cell]  1 Li 2.02, 2 Mn 2.11-2.19
F 0.9334 0.9130 0.3079 [1 per cell]  1 Li 2.06, 2 Mn 2.12-2.20

---

(6)
VASP calculation (PBEsol) on a geometry-optimized Li3BiO3 structure.

Calculated values
- Energy above the most stable polymorph in this dataset: 0.0 meV/atom
- Formation energy without anion corrections: -1670 meV per atom

Cell lengths 8.9065, 9.0989, 9.7117 Å; angles 65.72, 72.41, 88.62 degrees
Last column: nearest neighbours and their distance in Å.
Space group P-1 (No. 2)
Unique sites:
Li 0.0100 0.3749 0.1100 [2 per cell]  4 O 1.93-2.03
Li 0.0205 0.7732 0.4494 [2 per cell]  4 O 1.94-2.16
Li 0.0293 0.2270 0.9453 [2 per cell]  4 O 1.92-2.06
Li 0.0762 0.9232 0.6255 [2 per cell]  5 O 2.04-2.28
Li 0.1498 0.6029 0.6592 [2 per cell]  4 O 1.87-2.03
Li 0.1542 0.0623 0.7898 [2 per cell]  4 O 1.94-2.16
Li 0.1768 0.9653 0.1593 [2 per cell]  3 O 1.86-2.00
Li 0.1902 0.3495 0.5944 [2 per cell]  4 O 1.93-2.06
Li 0.3372 0.8716 0.3588 [2 per cell]  4 O 1.96-2.15
Li 0.3985 0.5844 0.4996 [2 per cell]  4 O 1.87-1.94
Li 0.4224 0.0046 0.9140 [2 per cell]  4 O 1.92-2.05
Li 0.4256 0.1612 0.5667 [2 per cell]  4 O 1.94-2.14
Bi 0.2157 0.6333 0.2294 [2 per cell]  3 O 2.06-2.15
Bi 0.2590 0.2062 0.3056 [2 per cell]  3 O 2.08-2.11
Bi 0.3343 0.7475 0.8026 [2 per cell]  3 O 2.09-2.11
Bi 0.3543 0.3382 0.8605 [2 per cell]  3 O 2.06-2.17
O 0.0225 0.7706 0.2362 [2 per cell]  5 Li 1.94-2.16, 1 Bi 2.10
O 0.0414 0.3051 0.3147 [2 per cell]  3 Li 1.87-1.99
O 0.1131 0.8345 0.8418 [2 per cell]  4 Li 1.92-2.04, 1 Bi 2.09
O 0.1369 0.4523 0.8847 [2 per cell]  4 Li 1.96-2.06, 1 Bi 2.17
O 0.1457 0.9817 0.3613 [2 per cell]  4 Li 1.94-2.13, 1 Bi 2.08
O 0.1962 0.5809 0.4625 [2 per cell]  3 Li 1.92-1.95, 1 Bi 2.06
O 0.2148 0.1581 0.5442 [2 per cell]  4 Li 1.96-2.16, 1 Bi 2.08
O 0.2223 0.1147 0.9471 [2 per cell]  4 Li 1.86-2.03, 1 Bi 2.08
O 0.3572 0.7450 0.5829 [2 per cell]  4 Li 1.92-2.06, 1 Bi 2.09
O 0.3811 0.8444 0.1408 [2 per cell]  4 Li 2.00-2.15, 1 Bi 2.15
O 0.3898 0.3594 0.6327 [2 per cell]  3 Li 1.87-1.93, 1 Bi 2.06
O 0.4741 0.9687 0.7242 [2 per cell]  3 Li 1.92-1.98, 1 Bi 2.11

---

(7)
VASP calculation (PBEsol) on a geometry-optimized YPRuS2 structure.

Calculated values
- Formation energy without anion corrections: 909 meV per atom

Cell lengths 5.0227, 5.0227, 5.1646 Å; angles 90.00, 90.00, 90.00 degrees
Last column: nearest neighbours and their distance in Å.
Space group P4/mmm (No. 123)
Unique sites:
Y 0.0000 0.0000 0.0000 [1 per cell]  4 S 2.51, 2 P 2.58
P 0.0000 0.0000 0.5000 [1 per cell]  2 Y 2.58
Ru 0.5000 0.5000 0.5000 [1 per cell]  4 P 3.55, 8 S 3.60
S 0.0000 0.5000 0.0000 [2 per cell]  2 Y 2.51

---

(8)
VASP calculation (PBEsol) on a geometry-optimized ScFeSeN2 structure.

Calculated values
- Formation energy without anion corrections: -30 meV per atom

Cell lengths 3.6603, 3.6603, 4.7908 Å; angles 90.00, 90.00, 90.00 degrees
Last column: nearest neighbours and their distance in Å.
Space group P4/mmm (No. 123)
Unique sites:
Sc 0.0000 0.0000 0.0000 [1 per cell]  4 Se 2.59
Fe 0.5000 0.5000 0.5000 [1 per cell]  4 N 1.83
Se 0.5000 0.5000 0.0000 [1 per cell]  2 Fe 2.40, 4 Sc 2.59
N 0.0000 0.5000 0.5000 [2 per cell]  2 Fe 1.83

---

(9)
VASP calculation (PBEsol) on a geometry-optimized CrNiSe2 structure.

Calculated values
- Formation energy without anion corrections: 28 meV per atom

Cell lengths 3.0138, 3.0138, 5.9667 Å; angles 90.00, 90.00, 90.00 degrees
Last column: nearest neighbours and their distance in Å.
Space group P4/mmm (No. 123)
Unique sites:
Cr 0.0000 0.0000 0.0000 [1 per cell]  8 Se 2.57
Ni 0.0000 0.0000 0.5000 [1 per cell]  8 Se 2.63
Se 0.5000 0.5000 0.2414 [2 per cell]  4 Cr 2.57, 4 Ni 2.63

---

(10)
VASP calculation (PBEsol) on a geometry-optimized LiZr2OF structure.

Calculated values
- Formation energy without anion corrections: -733 meV per atom

Cell lengths 4.5174, 4.5174, 3.2063 Å; angles 90.00, 90.00, 90.00 degrees
Last column: nearest neighbours and their distance in Å.
Space group P4/mmm (No. 123)
Unique sites:
Li 0.0000 0.0000 0.0000 [1 per cell]  2 F 1.60
Zr 0.0000 0.5000 0.5000 [2 per cell]  2 F 2.26
O 0.5000 0.5000 0.0000 [1 per cell]  8 Zr 2.77
F 0.0000 0.0000 0.5000 [1 per cell]  2 Li 1.60

---

(11)
VASP calculation (PBEsol) on a geometry-optimized TcPPtO2 structure.

Calculated values
- Energy above the most stable polymorph in this dataset: 0.0 meV/atom
- Formation energy without anion corrections: -546 meV per atom

Cell lengths 3.6066, 3.6066, 5.3672 Å; angles 90.00, 90.00, 90.00 degrees
Last column: nearest neighbours and their distance in Å.
Space group P4/mmm (No. 123)
Unique sites:
Tc 0.0000 0.0000 0.0000 [1 per cell]  4 O 1.80
P 0.0000 0.0000 0.5000 [1 per cell]  4 Pt 2.55, 2 Tc 2.68
Pt 0.5000 0.5000 0.5000 [1 per cell]  4 P 2.55
O 0.0000 0.5000 0.0000 [2 per cell]  2 Tc 1.80

---

(12)
VASP calculation (PBEsol) on a geometry-optimized FeAsIBr2 structure.

Calculated values
- Formation energy without anion corrections: 1282 meV per atom

Cell lengths 5.6006, 5.6006, 5.4063 Å; angles 90.00, 90.00, 90.00 degrees
Last column: nearest neighbours and their distance in Å.
Space group P4/mmm (No. 123)
Unique sites:
Fe 0.0000 0.0000 0.0000 [1 per cell]  8 Br 3.89, 4 As 3.96
As 0.5000 0.5000 0.0000 [1 per cell]  2 I 2.70
I 0.5000 0.5000 0.5000 [1 per cell]  2 As 2.70, 4 Br 2.80
Br 0.0000 0.5000 0.5000 [2 per cell]  2 I 2.80